Below is a crystal of TcAg3Au relaxed with PBEsol, with properties calculated at the meta-GGA SCAN level.

Formation energy: 1.332 eV/atom
Raw total energy: -38.33 eV per atom
M_tot: 4.420 μB per cell

Cell and atoms, written as CIF:
```
data_TcAg3Au
_cell_length_a 4.9603
_cell_length_b 4.9603
_cell_length_c 4.9603
_cell_angle_alpha 90.00
_cell_angle_beta 90.00
_cell_angle_gamma 90.00
_symmetry_space_group_name_H-M 'P m -3 m'
_symmetry_Int_Tables_number 221
_symmetry_space_group_name_Hall '-P 4 2 3'
loop_
_atom_site_label
_atom_site_fract_x
_atom_site_fract_y
_atom_site_fract_z
_atom_site_occupancy
Tc1 0.0000 0.0000 0.0000 1
Ag1 0.0000 0.5000 0.5000 1
Au1 0.5000 0.5000 0.5000 1
```